DFT (PBE) results for crystalline BaYGa2Pd2 at its relaxed geometry.

E_tot	-29.35	eV per formula unit
N(E_F)	3.13	states/eV/cell
calculated formation energy	-0.754	eV per atom
SG	P-3m1 (164)
magnetization	0.00	μB/atom
crystal system	trigonal
mass density	6.69	g/cm³

POSCAR file:
```
BaYGa2Pd2
1.0
4.554 0.000 0.000
-2.277 3.944 0.000
0.000 0.000 7.990
Ga Pd Y Ba
2 2 1 1
Direct
0.333 0.667 0.303
0.667 0.333 0.697
0.333 0.667 0.691
0.667 0.333 0.309
0.000 0.000 0.500
0.000 0.000 0.000
```

DFT (PBE) results for crystalline BaZnGa2Pd at its relaxed geometry.

E_tot	-16.39	eV per formula unit
N(E_F)	1.77	states/eV/cell
calculated formation energy	-0.390	eV per atom
SG	P4/mmm (123)
magnetization	0.00	μB/atom
crystal system	tetragonal
mass density	6.19	g/cm³

POSCAR file:
```
BaZnGa2Pd
1.0
-1.008 -0.817 4.739
1.996 -4.477 -0.348
4.435 1.879 1.267
Zn Ba Pd Ga
1 1 1 2
Direct
0.000 0.000 0.500
0.500 0.500 0.500
0.000 0.000 0.000
0.000 0.500 0.000
0.500 0.000 0.000
```

DFT (PBE) results for crystalline Ba2Zn6GaPd at its relaxed geometry.

E_tot	-22.58	eV per formula unit
N(E_F)	5.73	states/eV/cell
calculated formation energy	-0.287	eV per atom
SG	P-1 (2)
magnetization	0.00	μB/atom
crystal system	triclinic
mass density	6.02	g/cm³

POSCAR file:
```
Ba2Zn6GaPd
1.0
6.724 -0.003 0.022
0.003 7.086 -0.280
3.376 3.342 4.764
Zn Ga Pd Ba
6 1 1 2
Direct
0.649 0.146 0.102
0.753 0.855 0.497
0.247 0.145 0.503
0.247 0.145 0.105
0.351 0.854 0.898
0.753 0.855 0.895
0.500 0.500 0.000
0.000 0.000 0.000
0.209 0.625 0.584
0.791 0.375 0.416
```

DFT (PBE) results for crystalline BaZn2GaPd at its relaxed geometry.

E_tot	-14.70	eV per formula unit
N(E_F)	2.97	states/eV/cell
calculated formation energy	-0.403	eV per atom
SG	Imm2 (44)
magnetization	0.00	μB/atom
crystal system	orthorhombic
mass density	6.60	g/cm³

POSCAR file:
```
BaZn2GaPd
1.0
4.531 0.000 0.000
0.000 4.596 0.000
-2.266 -2.298 5.369
Zn Pd Ga Ba
2 1 1 1
Direct
0.693 0.193 0.385
0.075 0.075 0.150
0.195 0.695 0.389
0.808 0.808 0.615
0.442 0.442 0.885
```

DFT (PBE) results for crystalline BaZn2GaPd at its relaxed geometry.

E_tot	-6.70	eV per formula unit
N(E_F)	3.71	states/eV/cell
calculated formation energy	1.198	eV per atom
SG	P4/mmm (123)
magnetization	0.00	μB/atom
crystal system	tetragonal
mass density	3.43	g/cm³

POSCAR file:
```
BaZn2GaPd
1.0
-0.816 5.033 3.051
-2.085 -3.212 4.741
5.524 -0.409 2.152
Pd Zn Ba Ga
1 2 1 1
Direct
0.500 0.500 0.500
0.000 0.000 0.500
0.500 0.000 0.000
0.000 0.000 0.000
0.000 0.500 0.000
```

DFT (PBE) results for crystalline BaZnGa2Pd at its relaxed geometry.

E_tot	-16.85	eV per formula unit
N(E_F)	1.81	states/eV/cell
calculated formation energy	-0.482	eV per atom
SG	I-4m2 (119)
magnetization	0.00	μB/atom
crystal system	tetragonal
mass density	6.65	g/cm³

POSCAR file:
```
BaZnGa2Pd
1.0
-1.230 3.242 -3.096
-4.417 -1.426 0.262
1.968 2.448 5.273
Zn Pd Ga Ba
1 1 2 1
Direct
0.250 0.750 0.500
0.750 0.250 0.500
0.635 0.635 0.270
0.365 0.365 0.730
0.000 0.000 0.000
```

DFT (PBE) results for crystalline Ba2Zn4Ga3Pd at its relaxed geometry.

E_tot	-26.82	eV per formula unit
N(E_F)	4.39	states/eV/cell
calculated formation energy	-0.360	eV per atom
SG	P-4m2 (115)
magnetization	0.00	μB/atom
crystal system	tetragonal
mass density	6.32	g/cm³

POSCAR file:
```
Ba2Zn4Ga3Pd
1.0
4.581 0.000 0.000
0.000 4.581 0.000
0.000 0.000 10.669
Pd Ga Zn Ba
1 3 4 2
Direct
0.500 0.500 0.500
0.000 0.500 0.128
0.000 0.000 0.500
0.500 0.000 0.872
0.000 0.000 0.000
0.500 0.000 0.620
0.000 0.500 0.380
0.500 0.500 0.000
0.500 0.000 0.254
0.000 0.500 0.746
```

DFT (PBE) results for crystalline BaZn2GaPd at its relaxed geometry.

E_tot	-14.54	eV per formula unit
N(E_F)	3.50	states/eV/cell
calculated formation energy	-0.370	eV per atom
SG	P4/mmm (123)
magnetization	0.00	μB/atom
crystal system	tetragonal
mass density	6.12	g/cm³

POSCAR file:
```
BaZn2GaPd
1.0
4.969 0.000 0.000
0.000 4.969 0.000
0.000 0.000 4.878
Zn Ga Ba Pd
2 1 1 1
Direct
0.500 0.000 0.000
0.000 0.500 0.000
0.000 0.000 0.500
0.500 0.500 0.500
0.000 0.000 0.000
```

DFT (PBE) results for crystalline Ba2ZnGaPd at its relaxed geometry.

E_tot	-14.72	eV per formula unit
N(E_F)	4.86	states/eV/cell
calculated formation energy	-0.277	eV per atom
SG	P4/mmm (123)
magnetization	0.00	μB/atom
crystal system	tetragonal
mass density	4.69	g/cm³

POSCAR file:
```
Ba2ZnGaPd
1.0
6.141 0.000 0.000
0.000 6.141 0.000
0.000 0.000 4.843
Ba Zn Pd Ga
2 1 1 1
Direct
0.000 0.500 0.000
0.500 0.000 0.000
0.500 0.500 0.500
0.000 0.000 0.000
0.000 0.000 0.500
```

DFT (PBE) results for crystalline Ba2Zn3Ga4Pd at its relaxed geometry.

E_tot	-28.97	eV per formula unit
N(E_F)	4.72	states/eV/cell
calculated formation energy	-0.400	eV per atom
SG	P-4m2 (115)
magnetization	0.00	μB/atom
crystal system	tetragonal
mass density	6.31	g/cm³

POSCAR file:
```
Ba2Zn3Ga4Pd
1.0
-2.338 -3.471 -1.956
0.213 -2.373 3.957
-9.092 4.370 3.111
Ga Ba Zn Pd
4 2 3 1
Direct
0.500 0.000 0.613
0.000 0.000 0.000
0.500 0.500 0.000
0.000 0.500 0.387
0.500 0.000 0.252
0.000 0.500 0.748
0.000 0.000 0.500
0.000 0.500 0.130
0.500 0.000 0.870
0.500 0.500 0.500
```

DFT (PBE) results for crystalline BaPm2Ga6 at its relaxed geometry.

E_tot	-34.59	eV per formula unit
N(E_F)	4.60	states/eV/cell
calculated formation energy	-0.556	eV per atom
SG	P6/mmm (191)
magnetization	0.00	μB/atom
crystal system	hexagonal
mass density	6.37	g/cm³

POSCAR file:
```
BaPm2Ga6
1.0
4.496 0.000 0.000
0.000 6.516 -3.762
0.000 0.000 7.524
Ba Ga Pm
1 6 2
Direct
0.000 0.000 0.000
0.500 0.339 0.000
0.500 0.000 0.339
0.500 0.000 0.661
0.500 0.661 0.661
0.500 0.339 0.339
0.500 0.661 0.000
0.000 0.333 0.667
0.000 0.667 0.333
```

DFT (PBE) results for crystalline BaPmGa at its relaxed geometry.

E_tot	-10.42	eV per formula unit
N(E_F)	2.73	states/eV/cell
calculated formation energy	-0.240	eV per atom
SG	I4mm (107)
magnetization	0.00	μB/atom
crystal system	tetragonal
mass density	5.50	g/cm³

POSCAR file:
```
BaPmGa
1.0
-0.499 3.778 0.946
-1.044 0.789 -3.701
-5.821 -3.551 2.968
Pm Ba Ga
1 1 1
Direct
0.286 0.286 0.573
0.024 0.024 0.047
0.690 0.690 0.380
```